# 1
The following is a PBE calculation of a relaxed structure of Na3Pr2SmTe6, from the Alexandria database.

Output
ΔE_f (raw) ... -1.3285 eV per atom
Size of the total moment ... 0.0 Bohr magnetons per cell
Space-group type ... C2/m, No. 12

Cell lengths 7.8896, 7.8896, 8.0165 Å; angles 99.44, 99.44, 120.02 degrees
Closest atoms and distances in Å follow each position.
Positions (direct):
Te1 0.4088 0.0797 0.2395  1 Sm 3.17, 2 Pr 3.21, 3 Na 3.27-3.30
Te2 0.5912 0.9203 0.7605  1 Sm 3.17, 2 Pr 3.21, 3 Na 3.27-3.30
Te3 0.2489 0.2489 0.7605  1 Sm 3.16, 2 Pr 3.21, 3 Na 3.29-3.32
Te4 0.0797 0.4088 0.2395  1 Sm 3.17, 2 Pr 3.21, 3 Na 3.27-3.30
Te5 0.7511 0.7511 0.2395  1 Sm 3.16, 2 Pr 3.21, 3 Na 3.29-3.32
Te6 0.9203 0.5912 0.7605  1 Sm 3.17, 2 Pr 3.21, 3 Na 3.27-3.30
Pr1 0.6664 0.3336 0.0000  6 Te 3.21
Pr2 0.3336 0.6664 0.0000  6 Te 3.21
Na1 0.5000 0.5000 0.5000  6 Te 3.27-3.32
Na2 0.8319 0.1681 0.5000  6 Te 3.27-3.30
Na3 0.1681 0.8319 0.5000  6 Te 3.27-3.30
Sm1 0.0000 0.0000 0.0000  6 Te 3.16-3.17



# 2
The following is a PBE calculation of a relaxed structure of Dy2ErTmTe5, from the Alexandria database.

Output
ΔE_f (raw) ... -0.6514 eV per atom
Size of the total moment ... 0.5 Bohr magnetons per cell
Space-group type ... P4/mmm, No. 123
D(E_F) ... 0.474 states/eV per atom

Cell lengths 5.4940, 5.4940, 11.4323 Å; angles 90.00, 90.00, 90.00 degrees
Closest atoms and distances in Å follow each position.
Positions (direct):
Te1 0.0000 0.5000 0.5000  2 Tm 2.75
Te2 0.0000 0.0000 0.7539  1 Er 2.81, 1 Tm 2.90
Te3 0.0000 0.0000 0.2461  1 Er 2.81, 1 Tm 2.90
Te4 0.5000 0.0000 0.5000  2 Tm 2.75
Te5 0.5000 0.5000 0.0000  4 Er 3.88, 2 Dy 3.97
Tm1 0.0000 0.0000 0.5000  6 Te 2.75-2.90
Dy1 0.5000 0.5000 0.6530  4 Te 3.26, 1 Dy 3.50
Dy2 0.5000 0.5000 0.3470  4 Te 3.26, 1 Dy 3.50
Er1 0.0000 0.0000 0.0000  2 Te 2.81



# 3
The following is a PBE calculation of a relaxed structure of La3PmP4, from the Alexandria database.

Output
Size of the total moment ... 0.0 Bohr magnetons per cell
Space-group type ... Cmmm, No. 65
Energy of formation ... -1.57 eV/atom
D(E_F) ... 0.097 states/eV per atom

Cell lengths 4.2426, 7.3433, 7.3433 Å; angles 109.42, 90.00, 90.00 degrees
Closest atoms and distances in Å follow each position.
Positions (direct):
P1 0.5000 0.7523 0.2477  1 Pm 2.97, 5 La 3.00-3.02
P2 0.0000 0.7542 0.7542  2 Pm 2.97, 4 La 3.00-3.03
P3 0.5000 0.2477 0.7523  1 Pm 2.97, 5 La 3.00-3.02
P4 0.0000 0.2458 0.2458  2 Pm 2.97, 4 La 3.00-3.03
La1 0.0000 0.0000 0.5000  6 P 3.00
La2 0.5000 0.5000 0.5000  6 P 3.02-3.03
La3 0.0000 0.5000 0.0000  6 P 3.00
Pm1 0.5000 0.0000 0.0000  6 P 2.97